(P)
Crystalline Ca2IrSe at its relaxed geometry. Source: Alexandria, functional PBE-GGA.

abc: 4.9724 4.9724 3.5400
angles: 90.00 90.00 97.94
Closest atoms and distances in Å follow each position.
Sites, in units of the cell vectors:
Ca 0.0000 0.5000 0.0000  4 Se 3.05, 4 Ir 3.05, 2 Ca 3.26
Ca 0.5000 0.0000 0.0000  4 Se 3.05, 4 Ir 3.05, 2 Ca 3.26
Ir 0.0000 0.0000 0.5000  8 Ca 3.05, 2 Se 3.26
Se 0.5000 0.5000 0.5000  8 Ca 3.05, 2 Ir 3.26

Output
size of the total moment = 0.00 μB/atom
symmetry = Cmmm (65)
volume = 21.672 A^3/atom
crystal system = orthorhombic

---

(Q)
Crystalline Ca2IrSe at its relaxed geometry. Source: Alexandria, functional PBE-GGA.

abc: 4.9097 4.9097 4.9097
angles: 60.00 60.00 60.00
Closest atoms and distances in Å follow each position.
Sites, in units of the cell vectors:
Ca 0.0000 0.0000 0.0000  4 Se 3.01, 4 Ca 3.01
Ca 0.2500 0.2500 0.2500  4 Ca 3.01, 4 Ir 3.01
Ir 0.5000 0.5000 0.5000  4 Se 3.01, 4 Ca 3.01
Se 0.7500 0.7500 0.7500  4 Ir 3.01, 4 Ca 3.01

Output
size of the total moment = 0.00 μB/atom
symmetry = F-43m (216)
volume = 20.921 A^3/atom
crystal system = cubic

---

(R)
Crystalline Ca2IrSe at its relaxed geometry. Source: Alexandria, functional PBE-GGA.

abc: 3.5657 3.5657 6.8447
angles: 90.00 90.00 90.00
Closest atoms and distances in Å follow each position.
Sites, in units of the cell vectors:
Ca 0.0000 0.0000 0.2486  4 Ir 3.04, 4 Se 3.05, 1 Ca 3.40
Ca 0.0000 0.0000 0.7514  4 Ir 3.04, 4 Se 3.05, 1 Ca 3.40
Ir 0.5000 0.5000 0.0000  8 Ca 3.04
Se 0.5000 0.5000 0.5000  8 Ca 3.05

Output
size of the total moment = 0.00 μB/atom
symmetry = P4/mmm (123)
volume = 21.756 A^3/atom
crystal system = tetragonal

---

On energetic grounds, (R) is preferred over the next structure by 76 meV/atom.

---

(P)
Crystalline Ca2IrSe at its relaxed geometry. Source: Alexandria, functional PBE-GGA.

abc: 5.0071 5.0071 5.0071
angles: 60.00 60.00 60.00
Closest atoms and distances in Å follow each position.
Sites, in units of the cell vectors:
Ca 0.2500 0.2500 0.2500  4 Se 3.07, 4 Ir 3.07
Ca 0.7500 0.7500 0.7500  4 Se 3.07, 4 Ir 3.07
Ir 0.0000 0.0000 0.0000  8 Ca 3.07
Se 0.5000 0.5000 0.5000  8 Ca 3.07

Output
size of the total moment = 0.20 μB/atom
symmetry = Fm-3m (225)
volume = 22.191 A^3/atom
crystal system = cubic

---

(Q)
Crystalline Ca2IrSe at its relaxed geometry. Source: Alexandria, functional PBE-GGA.

abc: 7.9318 7.9318 7.9318
angles: 28.22 28.22 28.22
Closest atoms and distances in Å follow each position.
Sites, in units of the cell vectors:
Ca 0.2466 0.2466 0.2466  3 Se 2.88, 3 Ir 2.98
Ca 0.7534 0.7534 0.7534  3 Se 2.88, 3 Ir 2.98
Ir 0.0000 0.0000 0.0000  6 Ca 2.98
Se 0.5000 0.5000 0.5000  6 Ca 2.88

Output
size of the total moment = 0.00 μB/atom
symmetry = R-3m (166)
volume = 24.639 A^3/atom
crystal system = trigonal

---

(R)
Crystalline Ca2IrSe at its relaxed geometry. Source: Alexandria, functional PBE-GGA.

abc: 6.3173 6.3173 6.3173
angles: 105.07 105.07 118.68
Closest atoms and distances in Å follow each position.
Sites, in units of the cell vectors:
Ca 0.1118 0.6250 0.9868  2 Ir 2.77, 2 Se 2.90
Ca 0.3750 0.3618 0.4868  2 Ir 2.77, 2 Se 2.90
Ca 0.6382 0.1250 0.0132  2 Ir 2.77, 2 Se 2.90
Ca 0.8750 0.8882 0.5132  2 Ir 2.77, 2 Se 2.90
Ir 0.0000 0.0000 0.0000  4 Ca 2.77
Ir 0.7500 0.2500 0.5000  4 Ca 2.77
Se 0.2500 0.7500 0.5000  4 Ca 2.90, 2 Ir 3.22
Se 0.5000 0.5000 0.0000  4 Ca 2.90, 2 Ir 3.22

Output
size of the total moment = 0.00 μB/atom
symmetry = I-42d (122)
volume = 23.783 A^3/atom
crystal system = tetragonal

---

On energetic grounds, (Q) is preferred over the next structure by 56 meV/atom.

---

(P)
Crystalline Ca2SiIrSe at its relaxed geometry. Source: Alexandria, functional PBE-GGA.

abc: 5.3930 5.3930 4.6118
angles: 90.00 90.00 90.00
Closest atoms and distances in Å follow each position.
Sites, in units of the cell vectors:
Ca 0.0000 0.5000 0.0000  2 Se 2.70
Ca 0.5000 0.0000 0.0000  2 Se 2.70
Si 0.0000 0.0000 0.5000  8 Ca 3.55, 4 Ir 3.81
Ir 0.5000 0.5000 0.5000  2 Se 2.31
Se 0.5000 0.5000 0.0000  2 Ir 2.31

Output
size of the total moment = 0.00 μB/atom
symmetry = P4/mmm (123)
volume = 26.826 A^3/atom
crystal system = tetragonal

---

(Q)
Crystalline Ca2SiIrSe at its relaxed geometry. Source: Alexandria, functional PBE-GGA.

abc: 5.4854 5.4854 4.4927
angles: 90.00 90.00 90.00
Closest atoms and distances in Å follow each position.
Sites, in units of the cell vectors:
Ca 0.0000 0.5000 0.0000  2 Ir 2.74
Ca 0.5000 0.0000 0.0000  2 Ir 2.74
Si 0.0000 0.0000 0.5000  2 Ir 2.25
Ir 0.0000 0.0000 0.0000  2 Si 2.25
Se 0.5000 0.5000 0.5000  8 Ca 3.55, 4 Si 3.88

Output
size of the total moment = 0.00 μB/atom
symmetry = P4/mmm (123)
volume = 27.037 A^3/atom
crystal system = tetragonal

---

On energetic grounds, (Q) is preferred over the next structure by 663 meV/atom.

---

(P)
Crystalline CaSmIr at its relaxed geometry. Source: Alexandria, functional PBE-GGA.

abc: 7.1147 7.1147 7.1147
angles: 151.53 151.53 40.69
Closest atoms and distances in Å follow each position.
Sites, in units of the cell vectors:
Ca 0.0000 0.0000 0.0000  4 Ir 3.07, 1 Sm 3.36
Sm 0.2516 0.2516 0.0000  4 Ir 2.91
Ir 0.6367 0.6367 0.0000  4 Sm 2.91, 4 Ca 3.07

Output
size of the total moment = 0.00 μB/atom
symmetry = I4mm (107)
volume = 27.216 A^3/atom
crystal system = tetragonal

---

(Q)
Crystalline CaSmIr at its relaxed geometry. Source: Alexandria, functional PBE-GGA.

abc: 6.5811 6.5811 6.2381
angles: 90.00 90.00 144.08
Closest atoms and distances in Å follow each position.
Sites, in units of the cell vectors:
Ca 0.0000 0.0000 0.0000  4 Ir 3.03, 2 Ca 3.12
Ca 0.0000 0.0000 0.5000  4 Ir 3.03, 2 Ca 3.12
Sm 0.2785 0.7215 0.7500  2 Ir 2.75
Sm 0.7215 0.2785 0.2500  2 Ir 2.75
Ir 0.3703 0.6297 0.2500  2 Sm 2.75, 4 Ca 3.03
Ir 0.6297 0.3703 0.7500  2 Sm 2.75, 4 Ca 3.03

Output
size of the total moment = 0.00 μB/atom
symmetry = Cmcm (63)
volume = 26.415 A^3/atom
crystal system = orthorhombic

---

(R)
Crystalline CaSmIr at its relaxed geometry. Source: Alexandria, functional PBE-GGA.

abc: 4.8762 4.8762 4.8762
angles: 60.00 60.00 60.00
Closest atoms and distances in Å follow each position.
Sites, in units of the cell vectors:
Ca 0.0000 0.0000 0.0000  4 Ir 2.99
Sm 0.5000 0.5000 0.5000  4 Ir 2.99
Ir 0.2500 0.2500 0.2500  4 Sm 2.99, 4 Ca 2.99

Output
size of the total moment = 0.00 μB/atom
symmetry = F-43m (216)
volume = 27.327 A^3/atom
crystal system = cubic

---

(S)
Crystalline CaSmIr at its relaxed geometry. Source: Alexandria, functional PBE-GGA.

abc: 4.1206 4.1206 6.4420
angles: 90.00 90.00 120.00
Closest atoms and distances in Å follow each position.
Sites, in units of the cell vectors:
Ca 0.0000 0.0000 0.0000  3 Ir 2.87
Sm 0.6667 0.3333 0.4686  3 Ir 2.77
Ir 0.3333 0.6667 0.2496  3 Sm 2.77, 3 Ca 2.87

Output
size of the total moment = 0.00 μB/atom
symmetry = P3m1 (156)
volume = 31.575 A^3/atom
crystal system = trigonal

---

On energetic grounds, (R) is preferred over the next structure by 15 meV/atom.

---

(P)
Crystalline Ca2Sn2Ir at its relaxed geometry. Source: Alexandria, functional PBE-GGA.

abc: 7.1316 7.1316 4.8819
angles: 90.00 90.00 90.00
Closest atoms and distances in Å follow each position.
Sites, in units of the cell vectors:
Ca 0.1726 0.3274 0.0000  6 Sn 3.06-3.33
Ca 0.3274 0.8274 0.0000  6 Sn 3.06-3.33
Ca 0.6726 0.1726 0.0000  6 Sn 3.06-3.33
Ca 0.8274 0.6726 0.0000  6 Sn 3.06-3.33
Sn 0.1441 0.6441 0.5000  2 Ir 2.74, 1 Sn 2.91, 2 Ca 3.06
Sn 0.3559 0.1441 0.5000  2 Ir 2.74, 1 Sn 2.91, 2 Ca 3.06
Sn 0.6441 0.8559 0.5000  2 Ir 2.74, 1 Sn 2.91, 2 Ca 3.06
Sn 0.8559 0.3559 0.5000  2 Ir 2.74, 1 Sn 2.91, 2 Ca 3.06
Ir 0.0000 0.0000 0.5000  4 Sn 2.74
Ir 0.5000 0.5000 0.5000  4 Sn 2.74

Output
size of the total moment = 0.00 μB/atom
symmetry = P4/mbm (127)
volume = 24.829 A^3/atom
crystal system = tetragonal

---

(Q)
Crystalline Ca2Sn2Ir at its relaxed geometry. Source: Alexandria, functional PBE-GGA.

abc: 7.9709 7.9709 7.9709
angles: 132.32 67.93 134.62
Closest atoms and distances in Å follow each position.
Sites, in units of the cell vectors:
Ca 0.1644 0.2051 0.3695  2 Ir 2.97, 2 Sn 3.25-3.30
Ca 0.3356 0.7051 0.0406  2 Ir 2.97, 2 Sn 3.25-3.30
Ca 0.6644 0.2949 0.9594  2 Ir 2.97, 2 Sn 3.25-3.30
Ca 0.8356 0.7949 0.6305  2 Ir 2.97, 2 Sn 3.25-3.30
Sn 0.0758 0.6844 0.7602  2 Ir 2.74
Sn 0.4242 0.1844 0.6087  2 Ir 2.74
Sn 0.5758 0.8156 0.3913  2 Ir 2.74
Sn 0.9242 0.3156 0.2398  2 Ir 2.74
Ir 0.2500 0.2500 0.0000  4 Sn 2.74, 4 Ca 2.97
Ir 0.7500 0.7500 0.0000  4 Sn 2.74, 4 Ca 2.97

Output
size of the total moment = 0.00 μB/atom
symmetry = Ibam (72)
volume = 26.193 A^3/atom
crystal system = orthorhombic

---

On energetic grounds, (Q) is preferred over the next structure by 30 meV/atom.

---

(P)
Crystalline SrCa2Ir at its relaxed geometry. Source: Alexandria, functional PBE-GGA.

abc: 9.8720 9.8720 9.8720
angles: 24.84 24.84 24.84
Closest atoms and distances in Å follow each position.
Sites, in units of the cell vectors:
Sr 0.0000 0.0000 0.0000  6 Ca 4.19, 6 Sr 4.25
Ca 0.2149 0.2149 0.2149  3 Ir 2.81
Ca 0.7851 0.7851 0.7851  3 Ir 2.81
Ir 0.5000 0.5000 0.5000  6 Ca 2.81

Output
size of the total moment = 0.00 μB/atom
symmetry = R-3m (166)
volume = 37.324 A^3/atom
crystal system = trigonal

---

(Q)
Crystalline SrCa2Ir at its relaxed geometry. Source: Alexandria, functional PBE-GGA.

abc: 4.7599 4.7599 4.9413
angles: 90.00 90.00 90.00
Closest atoms and distances in Å follow each position.
Sites, in units of the cell vectors:
Sr 0.0000 0.0000 0.0000  4 Ir 3.37, 8 Ca 3.43
Ca 0.0000 0.5000 0.5000  4 Ca 3.37, 4 Ir 3.43, 4 Sr 3.43
Ca 0.5000 0.0000 0.5000  4 Ca 3.37, 4 Ir 3.43, 4 Sr 3.43
Ir 0.5000 0.5000 0.0000  4 Sr 3.37, 8 Ca 3.43

Output
size of the total moment = 0.00 μB/atom
symmetry = P4/mmm (123)
volume = 27.988 A^3/atom
crystal system = tetragonal

---

(R)
Crystalline SrCa2Ir at its relaxed geometry. Source: Alexandria, functional PBE-GGA.

abc: 5.3276 5.3276 5.3276
angles: 118.45 118.45 92.71
Closest atoms and distances in Å follow each position.
Sites, in units of the cell vectors:
Sr 0.0000 0.0000 0.0000  4 Ir 3.29, 6 Ca 3.29-3.68
Ca 0.2500 0.7500 0.5000  4 Ca 3.29, 4 Sr 3.29, 2 Ir 3.68
Ca 0.5000 0.5000 0.0000  4 Ir 3.29, 4 Ca 3.29, 2 Sr 3.68
Ir 0.7500 0.2500 0.5000  6 Ca 3.29-3.68, 4 Sr 3.29

Output
size of the total moment = 0.00 μB/atom
symmetry = I-4m2 (119)
volume = 27.325 A^3/atom
crystal system = tetragonal

---

On energetic grounds, (P) is preferred over the next structure by 122 meV/atom.

---

(P)
Crystalline SrCaIr3 at its relaxed geometry. Source: Alexandria, functional PBE-GGA.

abc: 4.9614 4.9614 4.9614
angles: 90.00 90.00 90.00
Closest atoms and distances in Å follow each position.
Sites, in units of the cell vectors:
Sr 0.0000 0.0000 0.0000  12 Ir 3.51
Ca 0.5000 0.5000 0.5000  6 Ir 2.48
Ir 0.0000 0.5000 0.5000  2 Ca 2.48
Ir 0.5000 0.0000 0.5000  2 Ca 2.48
Ir 0.5000 0.5000 0.0000  2 Ca 2.48

Output
size of the total moment = 0.00 μB/atom
symmetry = Pm-3m (221)
volume = 24.425 A^3/atom
crystal system = cubic

---

(Q)
Crystalline SrCaIr3 at its relaxed geometry. Source: Alexandria, functional PBE-GGA.

abc: 5.0241 5.0241 5.0241
angles: 90.00 90.00 90.00
Closest atoms and distances in Å follow each position.
Sites, in units of the cell vectors:
Sr 0.0000 0.0000 0.0000  6 Ir 2.51
Ca 0.5000 0.5000 0.5000  12 Ir 3.55
Ir 0.0000 0.0000 0.5000  2 Sr 2.51
Ir 0.0000 0.5000 0.0000  2 Sr 2.51
Ir 0.5000 0.0000 0.0000  2 Sr 2.51

Output
size of the total moment = 0.19 μB/atom
symmetry = Pm-3m (221)
volume = 25.363 A^3/atom
crystal system = cubic

---

On energetic grounds, (P) is preferred over the next structure by 426 meV/atom.

---

(P)
Crystalline SrCa4Ir at its relaxed geometry. Source: Alexandria, functional PBE-GGA.

abc: 10.2948 10.2948 10.2948
angles: 144.09 134.25 59.49
Closest atoms and distances in Å follow each position.
Sites, in units of the cell vectors:
Sr 0.2054 0.2054 0.0000  12 Ca 3.98-4.24
Sr 0.7946 0.7946 0.0000  12 Ca 3.98-4.24
Ca 0.1612 0.4007 0.7605  2 Ir 2.97
Ca 0.2170 0.0000 0.2170  2 Ir 2.86
Ca 0.3574 0.8574 0.5000  2 Ir 3.09, 2 Ca 3.41
Ca 0.3598 0.5993 0.7605  2 Ir 2.97
Ca 0.6402 0.4007 0.2395  2 Ir 2.97
Ca 0.6426 0.1426 0.5000  2 Ir 3.09, 2 Ca 3.41
Ca 0.7830 0.0000 0.7830  2 Ir 2.86
Ca 0.8388 0.5993 0.2395  2 Ir 2.97
Ir 0.5000 0.2759 0.7759  1 Ir 2.84, 8 Ca 2.86-3.09
Ir 0.5000 0.7241 0.2241  1 Ir 2.84, 8 Ca 2.86-3.09

Output
size of the total moment = 0.00 μB/atom
symmetry = Immm (71)
volume = 37.841 A^3/atom
crystal system = orthorhombic

---

(Q)
Crystalline SrCa4Ir at its relaxed geometry. Source: Alexandria, functional PBE-GGA.

abc: 10.3729 7.1461 6.6659
angles: 90.00 99.25 90.00
Closest atoms and distances in Å follow each position.
Sites, in units of the cell vectors:
Sr 0.0000 0.0000 0.0000  4 Ca 3.84-4.24
Sr 0.0000 0.5000 0.5000  4 Ca 3.84-4.24
Ca 0.2596 0.1114 0.5693  1 Ir 2.73
Ca 0.2596 0.3886 0.0693  1 Ir 2.73
Ca 0.4011 0.6477 0.6230  2 Ir 2.77-2.89
Ca 0.4011 0.8523 0.1230  2 Ir 2.77-2.89
Ca 0.5989 0.1477 0.8770  2 Ir 2.77-2.89
Ca 0.5989 0.3523 0.3770  2 Ir 2.77-2.89
Ca 0.7404 0.6114 0.9307  1 Ir 2.73
Ca 0.7404 0.8886 0.4307  1 Ir 2.73
Ir 0.5000 0.0000 0.5000  6 Ca 2.73-2.89
Ir 0.5000 0.5000 0.0000  6 Ca 2.73-2.89

Output
size of the total moment = 0.00 μB/atom
symmetry = P2_1/c (14)
volume = 40.641 A^3/atom
crystal system = monoclinic

---

On energetic grounds, (P) is preferred over the next structure by 93 meV/atom.